Material: PrDy4In
Method: DFT, PBE
State: relaxed

Energy above the most stable polymorph in this dataset: 0.12 eV per formula unit
ρ: 8.186 Mg/m³
Electronic total energy: -53.4 eV/cell
Total magnetic moment: 0.00 μB per formula unit
ΔH_f (0 K): -125 meV per atom

Cell: 5.527 11.148 6.867 Å, 90.00 90.00 119.73°
Positions (direct):
1 Pr 0.677 0.427 0.750
2 Pr 0.323 0.573 0.250
3 Dy 0.363 0.613 0.750
4 Dy 0.637 0.387 0.250
5 Dy 0.330 0.081 0.750
6 Dy 0.670 0.919 0.250
7 Dy 0.009 0.759 0.004
8 Dy 0.991 0.241 0.504
9 Dy 0.009 0.759 0.496
10 Dy 0.991 0.241 0.996
11 In 0.681 0.932 0.750
12 In 0.319 0.068 0.250


Material: Pr3Dy4In
Method: DFT, PBE
State: relaxed

Energy above the most stable polymorph in this dataset: 1.34 eV per formula unit
ρ: 7.487 Mg/m³
Electronic total energy: -35.0 eV/cell
Total magnetic moment: 0.29 μB per formula unit
ΔH_f (0 K): 59 meV per atom

Cell: 3.454 5.899 13.158 Å, 97.66 97.54 90.00°
Last column: magnetic moment on the atom in μB.
Positions (direct):
1 Pr 0.000 0.500 0.000  0.14
2 Pr 0.150 0.707 0.300  0.00
3 Pr 0.850 0.293 0.700  0.00
4 In 0.500 0.000 0.000  0.00
5 Dy 0.718 0.235 0.435  0.00
6 Dy 0.282 0.765 0.565  0.00
7 Dy 0.100 0.174 0.200  0.01
8 Dy 0.900 0.826 0.800  0.01


Q: Which formula does entry 2 have?
A: Pr3Dy4In


Q: What is the formula in the first record?
A: PrDy4In


Q: Among the records above, which one has the highest total magnetic moment?
A: Pr3Dy4In